VASP calculation (PBE-GGA) on K2AgRh after structural relaxation.

POSCAR file:
```
K2AgRh
1.0
4.306 0.000 0.000
0.000 4.306 0.000
0.000 0.000 21.969
K Ag Rh
8 4 4
direct
0.244 0.250 0.125
0.250 0.744 0.375
0.250 0.756 0.875
0.256 0.250 0.625
0.744 0.750 0.625
0.750 0.244 0.875
0.750 0.256 0.375
0.756 0.750 0.125
0.000 0.000 0.500
0.000 0.500 0.750
0.500 0.000 0.250
0.500 0.500 0.000
0.000 0.000 0.000
0.000 0.500 0.250
0.500 0.000 0.750
0.500 0.500 0.500
```

Formation energy: 273 kJ/mol of formula units
Total magnetic moment: 0.0 μB per formula unit
Calculated total energy: -2.39 eV per atom
DOS at the Fermi energy: 1.62 states/eV/f.u.
Crystal system: tetragonal

VASP calculation (PBE-GGA) on K2AgRh after structural relaxation.

POSCAR file:
```
K2AgRh
1.0
10.837 0.000 0.000
0.000 4.583 0.000
-2.813 0.000 4.806
K Ag Rh
4 2 2
direct
0.000 0.000 0.000
0.205 0.000 0.704
0.500 0.500 0.000
0.705 0.500 0.704
0.283 0.500 0.287
0.783 0.000 0.287
0.414 0.000 0.409
0.914 0.500 0.409
```

Formation energy: 175 kJ/mol of formula units
Total magnetic moment: 0.2 μB per formula unit
Calculated total energy: -2.64 eV per atom
DOS at the Fermi energy: 6.23 states/eV/f.u.
Crystal system: monoclinic

VASP calculation (PBE-GGA) on K2Ag4Rh after structural relaxation.

POSCAR file:
```
K2Ag4Rh
1.0
5.200 0.000 0.000
0.000 5.200 0.000
0.000 0.000 16.614
K Ag Rh
4 8 2
direct
0.000 0.000 0.136
0.000 0.000 0.864
0.500 0.500 0.364
0.500 0.500 0.636
0.000 0.000 0.343
0.000 0.000 0.657
0.000 0.500 0.000
0.000 0.500 0.500
0.500 0.000 0.000
0.500 0.000 0.500
0.500 0.500 0.157
0.500 0.500 0.843
0.000 0.000 0.500
0.500 0.500 0.000
```

Formation energy: 288 kJ/mol of formula units
Total magnetic moment: 0.4 μB per formula unit
Calculated total energy: -2.57 eV per atom
DOS at the Fermi energy: 6.48 states/eV/f.u.
Crystal system: tetragonal

VASP calculation (PBE-GGA) on KAg3Rh after structural relaxation.

POSCAR file:
```
KAg3Rh
1.0
5.176 0.000 0.000
0.000 5.176 0.000
0.000 0.000 5.176
K Ag Rh
1 3 1
direct
0.000 0.000 0.000
0.000 0.500 0.500
0.500 0.000 0.500
0.500 0.500 0.000
0.500 0.500 0.500
```

Formation energy: 258 kJ/mol of formula units
Total magnetic moment: 0.4 μB per formula unit
Calculated total energy: -2.87 eV per atom
DOS at the Fermi energy: 4.99 states/eV/f.u.
Crystal system: cubic